An optimized crystal structure of Hf3CrPb, computed with PBE. Values from VASP.

```
&SYSTEM
  ibrav = 0, nat = 5, ntyp = 3
/
ATOMIC_SPECIES
Hf 178.49 Hf.upf
Cr 52.00 Cr.upf
Pb 207.20 Pb.upf
CELL_PARAMETERS angstrom
4.8621 0.0000 0.0000
0.0000 4.8621 0.0000
0.0000 0.0000 4.8621
ATOMIC_POSITIONS crystal
Hf 0.0000 0.0000 0.5000
Hf 0.0000 0.5000 0.0000
Hf 0.5000 0.0000 0.0000
Cr 0.0000 0.0000 0.0000
Pb 0.5000 0.5000 0.5000
```

Values from the calculation:
The density of states at the Fermi level comes out at 8.80 states/eV/f.u. As for the symmetry: Pm-3m, No. 221. For the energy of formation, the calculation gives 0.50 eV per atom. For the mass density, the calculation gives 11.48 g/cm³.



An optimized crystal structure of HfCr3Pb, computed with PBE. Values from VASP.

```
&SYSTEM
  ibrav = 0, nat = 5, ntyp = 3
/
ATOMIC_SPECIES
Hf 178.49 Hf.upf
Cr 52.00 Cr.upf
Pb 207.20 Pb.upf
CELL_PARAMETERS angstrom
4.8942 0.0000 0.0000
0.0000 4.8942 0.0000
0.0000 0.0000 4.8942
ATOMIC_POSITIONS crystal
Hf 0.0000 0.0000 0.0000
Cr 0.0000 0.0000 0.5000
Cr 0.0000 0.5000 0.0000
Cr 0.5000 0.0000 0.0000
Pb 0.5000 0.5000 0.5000
```

Values from the calculation:
The density of states at the Fermi level comes out at 5.77 states/eV/f.u. As for the symmetry: Pm-3m, No. 221. For the energy of formation, the calculation gives 1.54 eV per atom. For the mass density, the calculation gives 7.67 g/cm³.